Entry 1:
First-principles (GGA-PBE) data for a relaxed Pm2MgSi3Ir4 crystal, as listed in the Alexandria database. Values from VASP.

Output
Raw total energy: -7.202 eV/atom
Raw formation energy: -0.92 eV per atom

Cell and atoms, written as Quantum ESPRESSO input:
```
&SYSTEM
  ibrav = 0, nat = 10, ntyp = 4
/
ATOMIC_SPECIES
Pm 145.00 Pm.upf
Mg 24.30 Mg.upf
Si 28.09 Si.upf
Ir 192.22 Ir.upf
CELL_PARAMETERS angstrom
4.146 0.000 0.000
0.000 4.146 0.000
0.000 0.000 10.345
ATOMIC_POSITIONS angstrom
Pm 0.000 2.073 2.554
Pm 2.073 0.000 7.790
Mg 0.000 0.000 5.172
Si 0.000 2.073 9.057
Si 2.073 0.000 1.288
Si 2.073 2.073 5.172
Ir 0.000 0.000 0.000
Ir 0.000 2.073 6.661
Ir 2.073 0.000 3.684
Ir 2.073 2.073 0.000
```

---

Entry 2:
First-principles (GGA-PBE) data for a relaxed Pm2MgSn3Ir4 crystal, as listed in the Alexandria database. Values from VASP.

Output
Raw total energy: -6.393 eV/atom
ΔH_f (0 K): -0.538 eV per atom

Cell and atoms, written as Quantum ESPRESSO input:
```
&SYSTEM
  ibrav = 0, nat = 10, ntyp = 4
/
ATOMIC_SPECIES
Pm 145.00 Pm.upf
Mg 24.30 Mg.upf
Sn 118.71 Sn.upf
Ir 192.22 Ir.upf
CELL_PARAMETERS angstrom
4.318 0.000 0.000
0.000 4.318 0.000
0.000 0.000 11.454
ATOMIC_POSITIONS angstrom
Pm 0.000 2.159 2.813
Pm 2.159 0.000 8.641
Mg 0.000 0.000 5.727
Sn 0.000 2.159 9.956
Sn 2.159 0.000 1.498
Sn 2.159 2.159 5.727
Ir 0.000 0.000 0.000
Ir 0.000 2.159 7.347
Ir 2.159 0.000 4.106
Ir 2.159 2.159 0.000
```

---

Entry 3:
First-principles (GGA-PBE) data for a relaxed PmMgSnIr crystal, as listed in the Alexandria database. Values from VASP.

Output
Raw total energy: -5.256 eV/atom
ΔH_f (0 K): -0.454 eV per atom

Cell and atoms, written as Quantum ESPRESSO input:
```
&SYSTEM
  ibrav = 0, nat = 4, ntyp = 4
/
ATOMIC_SPECIES
Pm 145.00 Pm.upf
Mg 24.30 Mg.upf
Sn 118.71 Sn.upf
Ir 192.22 Ir.upf
CELL_PARAMETERS angstrom
0.000 3.445 3.445
3.445 0.000 3.445
3.445 3.445 0.000
ATOMIC_POSITIONS angstrom
Pm 0.000 0.000 0.000
Mg 5.167 5.167 5.167
Sn 3.445 3.445 3.445
Ir 1.722 1.722 1.722
```

---

Entry 4:
First-principles (GGA-PBE) data for a relaxed PmMgTlIr crystal, as listed in the Alexandria database. Values from VASP.

Output
Raw total energy: -4.638 eV/atom
ΔH_f (0 K): -0.245 eV per atom

Cell and atoms, written as Quantum ESPRESSO input:
```
&SYSTEM
  ibrav = 0, nat = 4, ntyp = 4
/
ATOMIC_SPECIES
Pm 145.00 Pm.upf
Mg 24.30 Mg.upf
Tl 204.38 Tl.upf
Ir 192.22 Ir.upf
CELL_PARAMETERS angstrom
0.000 3.535 3.535
3.535 0.000 3.535
3.535 3.535 0.000
ATOMIC_POSITIONS angstrom
Pm 0.000 0.000 0.000
Mg 3.535 3.535 3.535
Tl 5.302 5.302 5.302
Ir 1.767 1.767 1.767
```

---

Entry 5:
First-principles (GGA-PBE) data for a relaxed Pr2MgIr crystal, as listed in the Alexandria database. Values from VASP.

Output
Raw total energy: -5.277 eV/atom
Offset from the most stable computed form: 0.0540 eV/atom
ΔH_f (0 K): -0.273 eV per atom

Cell and atoms, written as Quantum ESPRESSO input:
```
&SYSTEM
  ibrav = 0, nat = 4, ntyp = 3
/
ATOMIC_SPECIES
Pr 140.91 Pr.upf
Mg 24.30 Mg.upf
Ir 192.22 Ir.upf
CELL_PARAMETERS angstrom
0.000 3.698 3.698
3.698 0.000 3.698
3.698 3.698 0.000
ATOMIC_POSITIONS angstrom
Pr 1.849 1.849 1.849
Pr 5.547 5.547 5.547
Mg 0.000 0.000 0.000
Ir 3.698 3.698 3.698
```

---

Entry 6:
First-principles (GGA-PBE) data for a relaxed PrMg3Ir crystal, as listed in the Alexandria database. Values from VASP.

Output
Raw total energy: -4.008 eV/atom
ΔH_f (0 K): -0.323 eV per atom

Cell and atoms, written as Quantum ESPRESSO input:
```
&SYSTEM
  ibrav = 0, nat = 10, ntyp = 3
/
ATOMIC_SPECIES
Pr 140.91 Pr.upf
Mg 24.30 Mg.upf
Ir 192.22 Ir.upf
CELL_PARAMETERS angstrom
5.603 0.000 0.000
0.000 5.950 0.000
-2.380 0.000 6.987
ATOMIC_POSITIONS angstrom
Pr -0.390 1.487 2.779
Pr 3.613 4.462 4.208
Mg -1.928 1.487 6.179
Mg 2.250 2.986 1.437
Mg 2.250 5.939 1.437
Mg 0.973 0.011 5.550
Mg 0.973 2.964 5.550
Mg 5.151 4.462 0.808
Ir 0.731 4.462 3.264
Ir 2.492 1.487 3.723
```

---

Copy entry 4 word for word.
First-principles (GGA-PBE) data for a relaxed PmMgTlIr crystal, as listed in the Alexandria database. Values from VASP.

Output
Raw total energy: -4.638 eV/atom
ΔH_f (0 K): -0.245 eV per atom

Cell and atoms, written as Quantum ESPRESSO input:
```
&SYSTEM
  ibrav = 0, nat = 4, ntyp = 4
/
ATOMIC_SPECIES
Pm 145.00 Pm.upf
Mg 24.30 Mg.upf
Tl 204.38 Tl.upf
Ir 192.22 Ir.upf
CELL_PARAMETERS angstrom
0.000 3.535 3.535
3.535 0.000 3.535
3.535 3.535 0.000
ATOMIC_POSITIONS angstrom
Pm 0.000 0.000 0.000
Mg 3.535 3.535 3.535
Tl 5.302 5.302 5.302
Ir 1.767 1.767 1.767
```